Below is Pm2Er3S8 after structural relaxation, with properties calculated at the PBE-GGA level.

The raw total energy comes out at -6.223 eV per atom. The symmetry is No. 12.

Lattice parameters (Å, degrees): 6.7002 7.9641 7.9606 120.01 107.23 90.00
Sites, in units of the cell vectors:
Pm1 0.3417 0.2645 0.5290
Pm2 0.6583 0.7355 0.4710
Er1 0.5000 0.0000 0.0000
Er2 0.0000 0.2620 0.0000
Er3 0.0000 0.7380 0.0000
S1 0.9270 0.6199 0.2398
S2 0.0730 0.3801 0.7602
S3 0.9240 0.1130 0.2261
S4 0.0760 0.8870 0.7739
S5 0.5886 0.6475 0.7587
S6 0.5886 0.1112 0.7587
S7 0.4114 0.8888 0.2413
S8 0.4114 0.3525 0.2413